Material: RbNiPt
Method: DFT, PBE
State: optimized geometry

ρ, g cm⁻³: 7.33
Raw total energy, eV/atom: -2.562
Energy above the lowest structure with this stoichiometry, eV/f.u.: 2.07
Crystal system: cubic

Unit cell a=4.7726 b=4.7726 c=4.7726 alpha=60.00 beta=60.00 gamma=60.00
Last column: nearest neighbours and their distance in Å.
Sites, in units of the cell vectors:
Ni: 0.2500 0.2500 0.2500  4 Rb 2.92
Pt: 0.7500 0.7500 0.7500  4 Rb 2.92
Rb: 0.0000 0.0000 0.0000  4 Pt 2.92, 4 Ni 2.92